a | The following is a DFT calculation (PBE-GGA) of a relaxed structure of HfCoSnHg.

Geometry as POSCAR:
```
HfCoSnHg
1.0
0.0000 3.3478 3.3478
3.3478 0.0000 3.3478
3.3478 3.3478 0.0000
Hf Co Sn Hg
1 1 1 1
Direct
0.0000 0.0000 0.0000 Hf
0.5000 0.5000 0.5000 Co
0.2500 0.2500 0.2500 Sn
0.7500 0.7500 0.7500 Hg
```

Properties
Mass density, g/cm³: 12.319

b | The following is a DFT calculation (PBE-GGA) of a relaxed structure of HfCoSnHg.

Geometry as POSCAR:
```
HfCoSnHg
1.0
0.0000 3.3515 3.3515
3.3515 0.0000 3.3515
3.3515 3.3515 0.0000
Hf Co Sn Hg
1 1 1 1
Direct
0.0000 0.0000 0.0000 Hf
0.7500 0.7500 0.7500 Co
0.5000 0.5000 0.5000 Sn
0.2500 0.2500 0.2500 Hg
```

Properties
Mass density, g/cm³: 12.278

Most stable: b. Least stable: a.

a | The following is a DFT calculation (PBE-GGA) of a relaxed structure of HfTlCoHg.

Geometry as POSCAR:
```
HfTlCoHg
1.0
0.0000 3.3420 3.3420
3.3420 0.0000 3.3420
3.3420 3.3420 0.0000
Hf Tl Co Hg
1 1 1 1
Direct
0.0000 0.0000 0.0000 Hf
0.2500 0.2500 0.2500 Tl
0.5000 0.5000 0.5000 Co
0.7500 0.7500 0.7500 Hg
```

Properties
Mass density, g/cm³: 14.289

b | The following is a DFT calculation (PBE-GGA) of a relaxed structure of HfTlCoHg.

Geometry as POSCAR:
```
HfTlCoHg
1.0
0.0000 3.3690 3.3690
3.3690 0.0000 3.3690
3.3690 3.3690 0.0000
Hf Tl Co Hg
1 1 1 1
Direct
0.0000 0.0000 0.0000 Hf
0.5000 0.5000 0.5000 Tl
0.7500 0.7500 0.7500 Co
0.2500 0.2500 0.2500 Hg
```

Properties
Mass density, g/cm³: 13.948

Most stable: a. Least stable: b.

a | The following is a DFT calculation (PBE-GGA) of a relaxed structure of LiHfInCo.

Geometry as POSCAR:
```
LiHfInCo
1.0
0.0000 3.1971 3.1971
3.1971 0.0000 3.1971
3.1971 3.1971 0.0000
Li Hf In Co
1 1 1 1
Direct
0.0000 0.0000 0.0000 Li
0.2500 0.2500 0.2500 Hf
0.5000 0.5000 0.5000 In
0.7500 0.7500 0.7500 Co
```

Properties
Mass density, g/cm³: 9.125

b | The following is a DFT calculation (PBE-GGA) of a relaxed structure of LiHfInCo.

Geometry as POSCAR:
```
LiHfInCo
1.0
0.0000 3.1476 3.1476
3.1476 0.0000 3.1476
3.1476 3.1476 0.0000
Li Hf In Co
1 1 1 1
Direct
0.0000 0.0000 0.0000 Li
0.7500 0.7500 0.7500 Hf
0.2500 0.2500 0.2500 In
0.5000 0.5000 0.5000 Co
```

Properties
Mass density, g/cm³: 9.563

Most stable: b. Least stable: a.